# ScTeN (PBE-GGA, optimized geometry)
data_ScTeN
_chemical_formula_sum 'Sc4 Te4 N4'
_symmetry_space_group_name_H-M 'C 1 2/m 1'
_symmetry_Int_Tables_number 12
_cell_length_a 10.567
_cell_length_b 3.841
_cell_length_c 6.585
_cell_angle_alpha 90.00
_cell_angle_beta 106.05
_cell_angle_gamma 90.00
loop_
_symmetry_equiv_pos_as_xyz
'x,y,z'
'-x,-y,-z'
'-x,y,-z'
'x,-y,z'
'x+1/2,y+1/2,z'
'-x+1/2,-y+1/2,-z'
'-x+1/2,y+1/2,-z'
'x+1/2,-y+1/2,z'
loop_
_atom_site_label
_atom_site_fract_x
_atom_site_fract_y
_atom_site_fract_z
_atom_site_occupancy
Sc1 0.107 0.000 0.260 1
Te1 0.171 0.000 0.718 1
N1 0.033 0.500 0.096 1
# Formation energy (no corrections)   -2.2 eV per formula unit

***

# Sc4Te2N (PBE-GGA, optimized geometry)
data_Sc4Te2N
_chemical_formula_sum 'Sc8 Te4 N2'
_symmetry_space_group_name_H-M 'I 4/m m m'
_symmetry_Int_Tables_number 139
_symmetry_space_group_name_Hall '-I 4 2'
_cell_length_a 4.327
_cell_length_b 4.327
_cell_length_c 15.049
_cell_angle_alpha 90.00
_cell_angle_beta 90.00
_cell_angle_gamma 90.00
loop_
_atom_site_label
_atom_site_fract_x
_atom_site_fract_y
_atom_site_fract_z
_atom_site_occupancy
Sc1 0.000 0.000 0.157 1
Sc2 0.000 0.500 0.000 1
Te1 0.000 0.000 0.354 1
N1 0.000 0.000 0.000 1
# Formation energy (no corrections)   -7.7 eV per formula unit